(1)
Compound: Cr2Co3Ni3
Source: Alexandria via LeMat-Bulk
Functional: PBE
Structure: relaxed

Values from the calculation:
DFT formation energy in meV/atom: 22.3

Lattice parameters (Å, degrees): 3.5297 3.5662 7.0274 90.00 90.00 90.00
Last column: nearest neighbours and their distance in Å.
Space group Pmmm (No. 47)
Asymmetric unit:
Cr 0.0000 0.0000 0.2494 x2  6 Co 2.49-2.50, 6 Ni 2.51
Co 0.0000 0.5000 0.0000 x1  4 Ni 2.48, 4 Cr 2.50, 4 Co 2.51
Co 0.5000 0.0000 0.0000 x1  4 Cr 2.49, 4 Ni 2.49, 4 Co 2.51
Co 0.5000 0.0000 0.5000 x1  4 Cr 2.49, 8 Ni 2.51-2.52
Ni 0.0000 0.5000 0.5000 x1  4 Ni 2.50, 4 Cr 2.51, 4 Co 2.51
Ni 0.5000 0.5000 0.2473 x2  6 Co 2.48-2.52, 2 Ni 2.50, 4 Cr 2.51



(2)
Compound: BaAc3Tc
Source: Alexandria via LeMat-Bulk
Functional: PBE
Structure: relaxed

Values from the calculation:
DFT formation energy in meV/atom: 78.4

Lattice parameters (Å, degrees): 5.9211 5.9211 5.9211 90.00 90.00 90.00
Last column: nearest neighbours and their distance in Å.
Space group Pm-3m (No. 221)
Asymmetric unit:
Ba 0.0000 0.0000 0.0000 x1  12 Ac 4.19
Ac 0.0000 0.5000 0.5000 x3  2 Tc 2.96
Tc 0.5000 0.5000 0.5000 x1  6 Ac 2.96



(3)
Compound: Nd4DyEr3Te8
Source: Alexandria via LeMat-Bulk
Functional: PBE
Structure: relaxed

Values from the calculation:
Formation energy without anion corrections in kcal/mol of atoms: -30.665

Lattice parameters (Å, degrees): 8.7005 8.7005 22.2649 90.00 90.00 120.00
Last column: nearest neighbours and their distance in Å.
Space group R-3m (No. 166, hexagonal axes)
Asymmetric unit:
Nd 0.0000 0.0000 0.0000 x3  6 Te 3.18
Nd 0.0000 0.5000 0.0000 x9  6 Te 3.19
Dy 0.0000 0.0000 0.5000 x3  6 Te 3.07
Er 0.0000 0.5000 0.5000 x9  6 Te 3.05
Te 0.0000 0.0000 0.2447 x6  3 Er 3.05, 3 Nd 3.19
Te 0.0015 0.5008 0.7549 x18  2 Er 3.05, 1 Dy 3.07, 3 Nd 3.18-3.19



(4)
Compound: Nd2HgN
Source: Alexandria via LeMat-Bulk
Functional: PBE
Structure: relaxed

Values from the calculation:
Energy above the most stable polymorph in this dataset in meV per atom: 74
Formation energy without anion corrections in kcal/mol of atoms: -19.304

Lattice parameters (Å, degrees): 3.6700 3.6700 23.9620 90.00 90.00 120.00
Last column: nearest neighbours and their distance in Å.
Space group R3m (No. 160, hexagonal axes)
Asymmetric unit:
Nd 0.0000 0.0000 0.0000 x3  3 N 2.52
Nd 0.0000 0.0000 0.2166 x3  3 N 2.56
Hg 0.0000 0.0000 0.4424 x3  6 Nd 3.34-3.36, 6 Hg 3.67
N 0.0000 0.0000 0.6097 x3  6 Nd 2.52-2.56



(5)
Compound: HoEr2Hg8
Source: Alexandria via LeMat-Bulk
Functional: PBE
Structure: relaxed

Values from the calculation:
DFT formation energy in meV/atom: -296.3

Lattice parameters (Å, degrees): 15.9303 4.8979 7.2161 90.00 109.03 90.00
Last column: nearest neighbours and their distance in Å.
Space group C2/m (No. 12)
Asymmetric unit:
Ho 0.0000 0.0000 0.0000 x2  12 Hg 3.06-3.37
Er 0.2166 0.5000 0.6560 x4  10 Hg 3.09-3.31
Hg 0.0314 0.5000 0.7312 x4  7 Hg 3.12-3.29, 1 Er 3.17, 2 Ho 3.26
Hg 0.0978 0.0000 0.4558 x4  6 Hg 3.05-3.39, 3 Er 3.14-3.31, 1 Ho 3.15
Hg 0.1490 0.5000 0.1867 x4  7 Hg 3.11-3.39, 3 Er 3.20-3.21, 2 Ho 3.37
Hg 0.1731 0.0000 0.9029 x4  6 Hg 3.05-3.29, 1 Ho 3.06, 3 Er 3.09-3.23



(6)
Compound: La9Sm2Tl
Source: Alexandria via LeMat-Bulk
Functional: PBE
Structure: relaxed

Values from the calculation:
DFT formation energy in meV/atom: -63.8

Lattice parameters (Å, degrees): 5.1535 5.1535 15.7638 90.00 90.00 90.00
Last column: nearest neighbours and their distance in Å.
Space group P4/mmm (No. 123)
Asymmetric unit:
La 0.0000 0.0000 0.0000 x1  8 La 3.63, 4 Tl 3.64
La 0.0000 0.0000 0.3322 x2  4 Sm 3.64, 8 La 3.69-3.72
La 0.0000 0.5000 0.1621 x4  2 Tl 3.63, 8 La 3.63-3.72, 2 Sm 3.70
La 0.0000 0.5000 0.5000 x2  8 La 3.64-3.69, 4 Sm 3.72
Sm 0.5000 0.5000 0.3302 x2  12 La 3.64-3.72
Tl 0.5000 0.5000 0.0000 x1  12 La 3.63-3.64



Number 1: uncorrected energy -7.216 eV/atom, ρ 8.6 Mg/m³. Number 2: uncorrected energy -4.844 eV/atom, ρ 7.3 Mg/m³. Number 3: uncorrected energy -5.236 eV/atom, ρ 7.7 Mg/m³. Number 4: uncorrected energy -5.378 eV/atom, ρ 9.0 Mg/m³. Number 5: uncorrected energy -1.762 eV/atom, ρ 13.1 Mg/m³. Number 6: uncorrected energy -4.743 eV/atom, ρ 7.0 Mg/m³.